The following is a GGA-PBE calculation of a relaxed structure of ScUPt6, from the Alexandria database.

```
data_ScUPt6
_cell_length_a 4.086
_cell_length_b 4.086
_cell_length_c 8.149
_cell_angle_alpha 90.00
_cell_angle_beta 90.00
_cell_angle_gamma 90.00
_space_group_name_H-M_alt 'P 4/m m m'
_space_group_IT_number 123
_space_group_name_Hall '-P 4 2'
loop_
_atom_site_label
_atom_site_type_symbol
_atom_site_fract_x
_atom_site_fract_y
_atom_site_fract_z
Sc1 Sc 0.000 0.000 0.000
U1 U 0.000 0.000 0.500
Pt1 Pt 0.000 0.500 0.246
Pt2 Pt 0.500 0.500 0.000
Pt3 Pt 0.500 0.500 0.500
```

Results
The value obtained for the total energy is -61.18 eV for the cell shown. The formation energy comes out at -0.914 eV/atom.

The following is a GGA-PBE calculation of a relaxed structure of CsRe2RhO8, from the Alexandria database.

```
data_CsRe2RhO8
_cell_length_a 9.449
_cell_length_b 6.103
_cell_length_c 8.664
_cell_angle_alpha 90.00
_cell_angle_beta 95.16
_cell_angle_gamma 90.00
_space_group_name_H-M_alt 'C 1 2/m 1'
_space_group_IT_number 12
_space_group_name_Hall '-C 2y'
loop_
_atom_site_label
_atom_site_type_symbol
_atom_site_fract_x
_atom_site_fract_y
_atom_site_fract_z
Cs1 Cs 0.000 0.000 0.000
Re1 Re 0.129 0.500 0.298
Rh1 Rh 0.000 0.000 0.500
O1 O 0.026 0.261 0.323
O2 O 0.183 0.500 0.108
O3 O 0.222 0.000 0.565
```

Results
The value obtained for the total energy is -180.66 eV for the cell shown. The formation energy without anion corrections is -1.46 eV/atom.

no.,magnetization (μB/f.u.)
1,1.2
2,2.0